1.
Crystalline Li4SnPd4 at its relaxed geometry. Source: Alexandria via LeMat-Bulk, functional PBE-GGA.

Output
V: 15.08 Å³/atom
N(E_F): 0.42 states/eV per atom
total magnetic moment: 0.000 μB per atom
mass density: 7.00 g cm⁻³

Lattice parameters (Å, degrees): 8.1329 8.1329 4.1040 90.00 90.00 90.00
Space group I4/mmm (No. 139)
One atom of each set of equivalent atoms:
Li  0.1771  0.1771  0.0000
Sn  0.0000  0.0000  0.5000
Pd  0.0000  0.3288  0.5000

2.
Crystalline Tl2TcRh at its relaxed geometry. Source: Alexandria via LeMat-Bulk, functional PBE-GGA.

Output
V: 18.87 Å³/atom
relative energy among the computed polymorphs: 91 kJ/mol of formula units
N(E_F): 0.89 states/eV per atom
total magnetic moment: 0.260 μB per atom
mass density: 13.41 g cm⁻³

Lattice parameters (Å, degrees): 3.1529 3.1529 26.3039 90.00 90.00 120.00
Space group R-3m (No. 166, hexagonal axes)
One atom of each set of equivalent atoms:
Tl  0.0000  0.0000  0.2482
Tc  0.0000  0.0000  0.0000
Rh  0.0000  0.0000  0.5000

3.
Crystalline Tb2Nd2Dy2Mg at its relaxed geometry. Source: Alexandria via LeMat-Bulk, functional PBE-GGA.

Output
V: 32.54 Å³/atom
N(E_F): 1.20 states/eV per atom
total magnetic moment: 0.000 μB per atom
mass density: 6.97 g cm⁻³

Lattice parameters (Å, degrees): 12.1502 3.6687 11.6172 90.00 118.40 90.00
Space group C2/m (No. 12)
One atom of each set of equivalent atoms:
Tb  0.2471  0.0000  0.1287
Nd  0.0293  0.0000  0.2458
Dy  0.1798  0.0000  0.5859
Mg  0.0000  0.5000  0.0000

4.
Crystalline HgClF2 at its relaxed geometry. Source: Alexandria via LeMat-Bulk, functional PBE-GGA.

Output
V: 22.91 Å³/atom
raw formation energy: -1.031 eV/atom
relative energy among the computed polymorphs: 0 kJ/mol of formula units
total magnetic moment: 0.000 μB per atom
mass density: 4.97 g cm⁻³

Lattice parameters (Å, degrees): 3.7561 6.4062 8.3638 112.08 99.67 90.47
Space group P-1 (No. 2)
One atom of each set of equivalent atoms:
Hg  0.2364  0.2382  0.4687
Cl  0.0556  0.9215  0.0841
F  0.2062  0.8403  0.3825
F  0.3055  0.6307  0.6386

5.
Crystalline PmY6Ho12 at its relaxed geometry. Source: Alexandria via LeMat-Bulk, functional PBE-GGA.

Output
V: 33.03 Å³/atom
relative energy among the computed polymorphs: 0 kJ/mol of formula units
N(E_F): 1.89 states/eV per atom
total magnetic moment: 0.000 μB per atom
mass density: 7.03 g cm⁻³

Lattice parameters (Å, degrees): 13.1378 13.1378 12.5952 90.00 90.00 120.00
Space group R-3m (No. 166, hexagonal axes)
One atom of each set of equivalent atoms:
Pm  0.0000  0.0000  0.0000
Y  0.0361  0.5181  0.6212
Ho  0.0000  0.2563  0.5000
Ho  0.0915  0.1831  0.2638

6.
Crystalline CsCdSbPb at its relaxed geometry. Source: Alexandria via LeMat-Bulk, functional PBE-GGA.

Output
V: 40.70 Å³/atom
raw formation energy: -0.188 eV/atom
N(E_F): 0.43 states/eV per atom
total magnetic moment: 0.000 μB per atom
mass density: 5.86 g cm⁻³

Lattice parameters (Å, degrees): 4.5935 4.5935 15.4331 90.00 90.00 90.00
Space group P4/nmm (No. 129, origin choice 2)
One atom of each set of equivalent atoms:
Cs  0.2500  0.2500  0.2487
Cd  0.2500  0.7500  0.5000
Sb  0.2500  0.2500  0.6196
Pb  0.2500  0.7500  0.0000

7.
Crystalline Ti2NiRh4 at its relaxed geometry. Source: Alexandria via LeMat-Bulk, functional PBE-GGA.

Output
V: 14.63 Å³/atom
N(E_F): 0.90 states/eV per atom
total magnetic moment: 0.000 μB per atom
mass density: 9.18 g cm⁻³

Lattice parameters (Å, degrees): 4.9884 7.3176 5.7263 90.00 101.46 90.00
Space group P2_1/c (No. 14)
One atom of each set of equivalent atoms:
Ti  0.0888  0.0268  0.2467
Ni  0.5000  0.0000  0.0000
Rh  0.2364  0.7191  0.0679
Rh  0.3124  0.1835  0.6189

8.
Crystalline Sc2CrPb at its relaxed geometry. Source: Alexandria via LeMat-Bulk, functional PBE-GGA.

Output
V: 21.71 Å³/atom
N(E_F): 0.97 states/eV per atom
total magnetic moment: 0.889 μB per atom
mass density: 6.68 g cm⁻³

Lattice parameters (Å, degrees): 4.5496 4.5496 4.1950 90.00 90.00 90.00
Space group P4/mmm (No. 123)
One atom of each set of equivalent atoms:
Sc  0.0000  0.5000  0.0000
Cr  0.0000  0.0000  0.5000
Pb  0.5000  0.5000  0.5000

9.
Crystalline TaTcW2I at its relaxed geometry. Source: Alexandria via LeMat-Bulk, functional PBE-GGA.

Output
V: 22.30 Å³/atom
raw formation energy: 2.245 eV/atom
N(E_F): 1.44 states/eV per atom
total magnetic moment: 0.000 μB per atom
mass density: 11.52 g cm⁻³

Lattice parameters (Å, degrees): 4.7493 4.7493 4.9428 90.00 90.00 90.00
Space group P4/mmm (No. 123)
One atom of each set of equivalent atoms:
Ta  0.0000  0.0000  0.0000
Tc  0.5000  0.5000  0.5000
W  0.0000  0.5000  0.5000
I  0.5000  0.5000  0.0000

10.
Crystalline Fe2Re2Rh3 at its relaxed geometry. Source: Alexandria via LeMat-Bulk, functional PBE-GGA.

Output
V: 14.19 Å³/atom
N(E_F): 0.98 states/eV per atom
total magnetic moment: 0.745 μB per atom
mass density: 13.25 g cm⁻³

Lattice parameters (Å, degrees): 4.1352 17.9062 2.6839 90.00 90.00 90.00
Space group Cmmm (No. 65)
One atom of each set of equivalent atoms:
Fe  0.0000  0.0694  0.0000
Re  0.0000  0.2093  0.0000
Rh  0.0000  0.3506  0.5000
Rh  0.0000  0.5000  0.5000

11.
Crystalline Ac2SnSb3Pd6 at its relaxed geometry. Source: Alexandria via LeMat-Bulk, functional PBE-GGA.

Output
V: 26.31 Å³/atom
raw formation energy: -0.577 eV/atom
N(E_F): 0.49 states/eV per atom
total magnetic moment: 0.000 μB per atom
mass density: 8.29 g cm⁻³

Lattice parameters (Å, degrees): 4.4237 4.4237 16.1359 90.00 90.00 90.00
Space group P4/mmm (No. 123)
One atom of each set of equivalent atoms:
Ac  0.0000  0.0000  0.2101
Sn  0.0000  0.0000  0.5000
Sb  0.5000  0.5000  0.0000
Sb  0.5000  0.5000  0.3145
Pd  0.0000  0.5000  0.4034
Pd  0.5000  0.5000  0.1546

12.
Crystalline Cr2AgS4 at its relaxed geometry. Source: Alexandria via LeMat-Bulk, functional PBE-GGA.

Output
V: 21.36 Å³/atom
raw formation energy: -0.372 eV/atom
relative energy among the computed polymorphs: 118 kJ/mol of formula units
N(E_F): 0.37 states/eV per atom
total magnetic moment: 0.714 μB per atom
mass density: 3.78 g cm⁻³

Lattice parameters (Å, degrees): 6.4116 7.5302 12.5665 81.86 84.87 89.76
Space group P-1 (No. 2)
One atom of each set of equivalent atoms:
Cr  0.1260  0.4449  0.2120
Cr  0.1450  0.9470  0.2138
Cr  0.2562  0.6122  0.5005
Cr  0.3458  0.7943  0.7862
Ag  0.2493  0.1245  0.4998
Ag  0.3928  0.2888  0.7962
S  0.0860  0.4216  0.3928
S  0.1262  0.8823  0.3899
S  0.1681  0.0138  0.8508
S  0.1802  0.5460  0.8597
S  0.2576  0.7127  0.1348
S  0.3248  0.2118  0.1572
S  0.3756  0.8231  0.6123
S  0.4107  0.3633  0.5943

13.
Crystalline Nd2TmPb2 at its relaxed geometry. Source: Alexandria via LeMat-Bulk, functional PBE-GGA.

Output
V: 31.20 Å³/atom
relative energy among the computed polymorphs: 0 kJ/mol of formula units
N(E_F): 0.86 states/eV per atom
total magnetic moment: 0.000 μB per atom
mass density: 9.28 g cm⁻³

Lattice parameters (Å, degrees): 8.2378 8.2378 4.5979 90.00 90.00 90.00
Space group P4/mbm (No. 127)
One atom of each set of equivalent atoms:
Nd  0.1682  0.3318  0.0000
Tm  0.0000  0.0000  0.5000
Pb  0.1370  0.6370  0.5000

14.
Crystalline InTc2As2 at its relaxed geometry. Source: Alexandria via LeMat-Bulk, functional PBE-GGA.

Output
V: 16.85 Å³/atom
relative energy among the computed polymorphs: 0 kJ/mol of formula units
N(E_F): 0.69 states/eV per atom
total magnetic moment: 0.000 μB per atom
mass density: 9.08 g cm⁻³

Lattice parameters (Å, degrees): 7.3328 7.3328 3.1338 90.00 90.00 90.00
Space group P4/mbm (No. 127)
One atom of each set of equivalent atoms:
In  0.0000  0.0000  0.0000
Tc  0.1469  0.3531  0.0000
As  0.1419  0.6419  0.5000

15.
Crystalline K2SbMo2 at its relaxed geometry. Source: Alexandria via LeMat-Bulk, functional PBE-GGA.

Output
V: 29.75 Å³/atom
raw formation energy: 0.577 eV/atom
relative energy among the computed polymorphs: 0 kJ/mol of formula units
N(E_F): 0.56 states/eV per atom
total magnetic moment: 0.000 μB per atom
mass density: 4.37 g cm⁻³

Lattice parameters (Å, degrees): 3.5059 3.5059 24.2026 90.00 90.00 90.00
Space group I4/mmm (No. 139)
One atom of each set of equivalent atoms:
K  0.0000  0.0000  0.1089
Sb  0.0000  0.0000  0.5000
Mo  0.0000  0.5000  0.2500

16.
Crystalline TlSiSe3 at its relaxed geometry. Source: Alexandria via LeMat-Bulk, functional PBE-GGA.

Output
V: 24.30 Å³/atom
raw formation energy: -0.006 eV/atom
N(E_F): 0.49 states/eV per atom
total magnetic moment: 0.000 μB per atom
mass density: 6.41 g cm⁻³

Lattice parameters (Å, degrees): 4.9530 4.9530 4.9530 90.00 90.00 90.00
Space group Pm-3m (No. 221)
One atom of each set of equivalent atoms:
Tl  0.0000  0.0000  0.0000
Si  0.5000  0.5000  0.5000
Se  0.0000  0.5000  0.5000

17.
Crystalline Re2AgW at its relaxed geometry. Source: Alexandria via LeMat-Bulk, functional PBE-GGA.

Output
V: 15.61 Å³/atom
relative energy among the computed polymorphs: 84 kJ/mol of formula units
N(E_F): 0.66 states/eV per atom
total magnetic moment: 0.000 μB per atom
mass density: 17.67 g cm⁻³

Lattice parameters (Å, degrees): 3.9657 3.9657 7.9387 90.00 90.00 90.00
Space group I-4m2 (No. 119)
One atom of each set of equivalent atoms:
Re  0.0000  0.0000  0.0000
Re  0.0000  0.5000  0.2500
Ag  0.0000  0.0000  0.5000
W  0.0000  0.5000  0.7500

18.
Crystalline KBi at its relaxed geometry. Source: Alexandria via LeMat-Bulk, functional PBE-GGA.

Output
V: 48.28 Å³/atom
N(E_F): 1.12 states/eV per atom
total magnetic moment: 0.189 μB per atom
mass density: 4.27 g cm⁻³

Lattice parameters (Å, degrees): 7.3272 7.3272 7.1940 90.00 90.00 90.00
Space group P4_2/mnm (No. 136)
One atom of each set of equivalent atoms:
K  0.1810  0.1810  0.0000
Bi  0.1398  0.1398  0.5000

19.
Crystalline Th2TcPd at its relaxed geometry. Source: Alexandria via LeMat-Bulk, functional PBE-GGA.

Output
V: 23.38 Å³/atom
N(E_F): 0.73 states/eV per atom
total magnetic moment: 0.000 μB per atom
mass density: 11.87 g cm⁻³

Lattice parameters (Å, degrees): 3.5405 3.5405 7.4590 90.00 90.00 90.00
Space group P4/mmm (No. 123)
One atom of each set of equivalent atoms:
Th  0.0000  0.0000  0.2376
Tc  0.5000  0.5000  0.0000
Pd  0.5000  0.5000  0.5000

20.
Crystalline CuSbN2O at its relaxed geometry. Source: Alexandria via LeMat-Bulk, functional PBE-GGA.

Output
V: 13.00 Å³/atom
raw formation energy: 1.007 eV/atom
N(E_F): 0.37 states/eV per atom
total magnetic moment: 0.404 μB per atom
mass density: 5.86 g cm⁻³

Lattice parameters (Å, degrees): 4.0683 4.0683 3.9282 90.00 90.00 90.00
Space group P4/mmm (No. 123)
One atom of each set of equivalent atoms:
Cu  0.0000  0.0000  0.0000
Sb  0.5000  0.5000  0.5000
N  0.0000  0.5000  0.5000
O  0.5000  0.5000  0.0000

Electronic total energy (eV/atom)
-4.073; -5.064; -4.140; -2.504; -4.967; -2.588; -7.684; -6.531; -7.690; -9.035; -5.223; -5.887; -4.800; -6.464; -5.019; -3.654; -9.648; -2.579; -7.999; -4.959